This record from the Alexandria database describes an optimized crystal structure of CsFe3W. The functional is PBE.

abc: 4.508 4.508 4.508
angles: 90.00 90.00 90.00
Site moments in Bohr magnetons follow the coordinates.
Atoms (fractional coordinates):
Fe: 0.000 0.500 0.000  -0.01
Fe: 0.000 0.000 0.500  -0.09
Fe: 0.500 0.000 0.000  0.07
Cs: 0.000 0.000 0.000  0.00
W: 0.500 0.500 0.500  -1.04

Properties
The density comes out at 8777 kg/m³. For the formation energy from the elements, the calculation gives 3.315 eV/atom.